{"formula": "NaLi2Cu2Sb2", "functional": "GGA-PBE", "state": "relaxed", "lattice_angstrom": [[2.181, 1.259, 8.729], [-2.181, 1.259, 8.729], [0.000, -2.518, 8.729]], "species": ["Na", "Li", "Li", "Cu", "Cu", "Sb", "Sb"], "frac_coords": [[0.000, 0.000, 0.000], [0.141, 0.141, 0.141], [0.859, 0.859, 0.859], [0.442, 0.442, 0.442], [0.558, 0.558, 0.558], [0.249, 0.249, 0.249], [0.751, 0.751, 0.751]], "e_form_raw_kj_per_mol_atoms": -32, "space_group": "R-3m (166)", "vol_a3_per_atom": 20.54, "magnetic_moment_mub_per_fu": 0.0}